Computed, not measured: a relaxed structure of YNiPb2 at the PBE level of DFT.

Cell lengths 5.185, 5.185, 5.185 Å; angles 60.00, 60.00, 60.00 degrees
Atoms (fractional coordinates):
Ni 0.500 0.500 0.500
Pb 0.000 0.000 0.000
Pb 0.250 0.250 0.250
Y 0.750 0.750 0.750

Crystal system: cubic
E above lowest polymorph: 203 meV per atom
Total magnetization: 0.00 μB/cell
Energy relative to the elements: 0.057 eV/atom


Computed, not measured: a relaxed structure of Y2NiPb2 at the PBE level of DFT.

Cell lengths 7.332, 7.332, 5.053 Å; angles 90.00, 90.00, 90.00 degrees
Atoms (fractional coordinates):
Pb 0.154 0.654 0.500
Pb 0.654 0.846 0.500
Pb 0.846 0.346 0.500
Pb 0.346 0.154 0.500
Y 0.333 0.833 0.000
Y 0.833 0.667 0.000
Y 0.667 0.167 0.000
Y 0.167 0.333 0.000
Ni 0.000 0.000 0.000
Ni 0.500 0.500 0.000

Crystal system: tetragonal
E above lowest polymorph: 171 meV per atom
Total magnetization: 0.00 μB/cell
Energy relative to the elements: -0.126 eV/atom


Computed, not measured: a relaxed structure of YNi2Pb at the PBE level of DFT.

Cell lengths 5.619, 5.619, 5.619 Å; angles 143.16, 133.44, 60.80 degrees
Atoms (fractional coordinates):
Ni 0.045 0.045 0.000
Ni 0.218 0.718 0.500
Pb 0.481 0.481 0.000
Y 0.756 0.256 0.500

Crystal system: orthorhombic
Total magnetization: 0.00 μB/cell
Energy relative to the elements: -0.094 eV/atom


Computed, not measured: a relaxed structure of Y2NiPb at the PBE level of DFT.

Cell lengths 7.886, 7.886, 6.509 Å; angles 52.71, 52.71, 90.00 degrees
Atoms (fractional coordinates):
Pb 0.000 0.000 0.000
Pb 0.750 0.250 0.500
Y 0.572 0.125 0.250
Y 0.178 0.625 0.250
Y 0.375 0.428 0.750
Y 0.875 0.822 0.750
Ni 0.500 0.500 0.000
Ni 0.250 0.750 0.500

Crystal system: tetragonal
Total magnetization: 0.00 μB/cell
Energy relative to the elements: -0.132 eV/atom


Computed, not measured: a relaxed structure of YNiPb2 at the PBE level of DFT.

Cell lengths 3.468, 3.468, 8.276 Å; angles 90.00, 90.00, 90.00 degrees
Atoms (fractional coordinates):
Ni 0.500 0.500 0.735
Pb 0.000 0.000 0.947
Pb 0.500 0.500 0.261
Y 0.000 0.000 0.557

Crystal system: tetragonal
E above lowest polymorph: 7 meV per atom
Total magnetization: 0.00 μB/cell
Energy relative to the elements: -0.140 eV/atom


Computed, not measured: a relaxed structure of Y5Ni2Pb at the PBE level of DFT.

Cell lengths 7.745, 7.745, 8.678 Å; angles 116.50, 116.50, 90.00 degrees
Atoms (fractional coordinates):
Y 0.523 0.707 0.730
Y 0.793 0.977 0.270
Y 0.000 0.000 0.000
Y 0.500 0.500 0.000
Y 0.207 0.023 0.730
Y 0.707 0.207 0.730
Y 0.023 0.523 0.730
Y 0.293 0.793 0.270
Y 0.977 0.477 0.270
Y 0.477 0.293 0.270
Ni 0.128 0.372 0.000
Ni 0.628 0.128 0.000
Ni 0.372 0.872 0.000
Ni 0.872 0.628 0.000
Pb 0.750 0.750 0.500
Pb 0.250 0.250 0.500

Crystal system: tetragonal
Total magnetization: 0.01 μB/cell
Energy relative to the elements: -0.394 eV/atom


Computed, not measured: a relaxed structure of YNiPb2 at the PBE level of DFT.

Cell lengths 3.564, 3.564, 7.635 Å; angles 90.00, 90.00, 101.68 degrees
Site moments in Bohr magnetons follow the coordinates.
Atoms (fractional coordinates):
Ni 0.500 0.500 0.750  0.13
Pb 0.000 0.000 0.955  0.01
Pb 0.000 0.000 0.545  0.01
Y 0.500 0.500 0.250  0.22

Crystal system: orthorhombic
E above lowest polymorph: 116 meV per atom
Total magnetization: 0.59 μB/cell
Energy relative to the elements: -0.031 eV/atom


Computed, not measured: a relaxed structure of Y2NiPb at the PBE level of DFT.

Cell lengths 4.301, 4.106, 6.023 Å; angles 70.04, 90.00, 90.00 degrees
Atoms (fractional coordinates):
Ni 0.000 0.715 0.446
Pb 0.500 0.551 0.771
Y 0.000 0.968 0.938
Y 0.500 0.265 0.345

Crystal system: orthorhombic
Total magnetization: 0.00 μB/cell
Energy relative to the elements: -0.384 eV/atom